This record from the Alexandria database describes a geometry-optimized RbHg4Cl8 structure. The functional is GGA-PBE.

Computed properties:
SG   R-3m, No. 166

Structure (POSCAR):
```
RbHg4Cl8
1.0
4.0930 2.3631 8.1149
-4.0930 2.3631 8.1149
0.0000 -4.7261 8.1149
Rb Hg Cl
1 4 8
direct
0.0000 0.0000 0.0000
0.0000 0.0000 0.5000
0.0000 0.5000 0.0000
0.5000 0.0000 0.0000
0.5000 0.5000 0.5000
0.2027 0.7412 0.7412
0.2272 0.2272 0.2272
0.2588 0.2588 0.7973
0.2588 0.7973 0.2588
0.7412 0.2027 0.7412
0.7412 0.7412 0.2027
0.7728 0.7728 0.7728
0.7973 0.2588 0.2588
```

***

This record from the Alexandria database describes a geometry-optimized Er5GeSb4 structure. The functional is GGA-PBE.

Computed properties:
SG   I4/m, No. 87

Structure (POSCAR):
```
Er5GeSb4
1.0
-4.8128 4.8128 3.0484
4.8128 -4.8128 3.0484
4.8128 4.8128 -3.0484
Er Ge Sb
5 1 4
direct
0.0000 0.0000 0.0000
0.2127 0.5984 0.8111
0.4016 0.2127 0.6144
0.5984 0.7873 0.3856
0.7873 0.4016 0.1889
0.5000 0.5000 0.0000
0.0948 0.3028 0.3977
0.3028 0.9052 0.2080
0.6972 0.0948 0.7920
0.9052 0.6972 0.6023
```

***

This record from the Alexandria database describes a geometry-optimized AlPtPb2 structure. The functional is GGA-PBE.

Computed properties:
SG   Cm, No. 8
ΔH_f (0 K)   -0.343 eV per atom

Structure (POSCAR):
```
AlPtPb2
1.0
3.6885 -2.1306 0.0000
3.6885 2.1306 0.0000
-2.4491 0.0000 6.6055
Al Pt Pb
1 1 2
direct
0.0000 0.0000 0.0000
0.3345 0.3345 0.0033
0.5726 0.5726 0.7145
0.7617 0.7617 0.2868
```

***

This record from the Alexandria database describes a geometry-optimized NdGeHIr2 structure. The functional is GGA-PBE.

Computed properties:
SG   Cmcm, No. 63

Structure (POSCAR):
```
NdGeHIr2
1.0
2.0025 -5.4347 0.0000
2.0025 5.4347 0.0000
0.0000 0.0000 7.2750
Nd Ge H Ir
2 2 2 4
direct
0.0584 0.9416 0.7500
0.9416 0.0584 0.2500
0.2229 0.7771 0.2500
0.7771 0.2229 0.7500
0.5000 0.5000 0.0000
0.5000 0.5000 0.5000
0.3402 0.6598 0.5546
0.3402 0.6598 0.9454
0.6598 0.3402 0.0546
0.6598 0.3402 0.4454
```

***

This record from the Alexandria database describes a geometry-optimized Hf2V2Bi structure. The functional is GGA-PBE.

Computed properties:
SG   P4/mbm, No. 127
ΔH_f (0 K)   0.479 eV per atom

Structure (POSCAR):
```
Hf2V2Bi
1.0
7.7469 0.0000 0.0000
0.0000 7.7469 0.0000
0.0000 0.0000 3.5005
Hf V Bi
4 4 2
direct
0.1355 0.3645 0.0000
0.3645 0.8645 0.0000
0.6355 0.1355 0.0000
0.8645 0.6355 0.0000
0.1538 0.6538 0.5000
0.3462 0.1538 0.5000
0.6538 0.8462 0.5000
0.8462 0.3462 0.5000
0.0000 0.0000 0.0000
0.5000 0.5000 0.0000
```

***

This record from the Alexandria database describes a geometry-optimized CsRbP3 structure. The functional is GGA-PBE.

Computed properties:
SG   Pm-3m, No. 221
ΔH_f (0 K)   1.400 eV per atom

Structure (POSCAR):
```
CsRbP3
1.0
6.1140 0.0000 0.0000
0.0000 6.1140 0.0000
0.0000 0.0000 6.1140
Cs Rb P
1 1 3
direct
0.0000 0.0000 0.0000
0.5000 0.5000 0.5000
0.0000 0.0000 0.5000
0.0000 0.5000 0.0000
0.5000 0.0000 0.0000
```

***

This record from the Alexandria database describes a geometry-optimized ThNiSn structure. The functional is GGA-PBE.

Computed properties:
SG   P3m1, No. 156
ΔH_f (0 K)   -0.544 eV per atom

Structure (POSCAR):
```
ThNiSn
1.0
4.5041 0.0000 0.0000
-2.2520 3.9007 0.0000
0.0000 0.0000 3.9020
Th Ni Sn
1 1 1
direct
0.0000 0.0000 0.0000
0.6667 0.3333 0.4979
0.3333 0.6667 0.5001
```

***

This record from the Alexandria database describes a geometry-optimized BeCuPb2 structure. The functional is GGA-PBE.

Computed properties:
SG   I-42d, No. 122
ΔH_f (0 K)   0.568 eV per atom

Structure (POSCAR):
```
BeCuPb2
1.0
-2.3411 2.3411 8.3352
2.3411 -2.3411 8.3352
2.3411 2.3411 -8.3352
Be Cu Pb
2 2 4
direct
0.0000 0.0000 0.0000
0.7500 0.2500 0.5000
0.2500 0.7500 0.5000
0.5000 0.5000 0.0000
0.1163 0.6250 0.9913
0.3750 0.3663 0.4913
0.6337 0.1250 0.0087
0.8750 0.8837 0.5087
```

***

This record from the Alexandria database describes a geometry-optimized CuHgTe2 structure. The functional is GGA-PBE.

Computed properties:
SG   R3m, No. 160

Structure (POSCAR):
```
CuHgTe2
1.0
1.6725 0.9656 10.8453
-1.6725 0.9656 10.8453
0.0000 -1.9313 10.8453
Cu Hg Te
1 1 2
direct
0.0000 0.0000 0.0000
0.7279 0.7279 0.7279
0.2766 0.2766 0.2766
0.4832 0.4832 0.4832
```

***

This record from the Alexandria database describes a geometry-optimized NaAl2Zn9 structure. The functional is GGA-PBE.

Computed properties:
SG   I4_1/amd, No. 141
ΔH_f (0 K)   -0.011 eV per atom

Structure (POSCAR):
```
NaAl2Zn9
1.0
-5.3973 5.3973 3.4704
5.3973 -5.3973 3.4704
5.3973 5.3973 -3.4704
Na Al Zn
2 4 18
direct
0.3750 0.6250 0.7500
0.6250 0.3750 0.2500
0.0000 0.0000 0.0000
0.0000 0.0000 0.5000
0.0000 0.5000 0.0000
0.5000 0.0000 0.5000
0.1250 0.8750 0.2500
0.1298 0.5531 0.3339
0.1298 0.7959 0.5768
0.2041 0.2809 0.3339
0.2041 0.8702 0.9232
0.2809 0.2041 0.8339
0.2809 0.4469 0.0768
0.4469 0.2809 0.5768
0.4469 0.8702 0.1661
0.5531 0.1298 0.8339
0.5531 0.7191 0.4232
0.7191 0.5531 0.9232
0.7191 0.7959 0.1661
0.7959 0.1298 0.0768
0.7959 0.7191 0.6661
0.8702 0.2041 0.4232
0.8702 0.4469 0.6661
0.8750 0.1250 0.7500
```

***

This record from the Alexandria database describes a geometry-optimized Sm3GaHg structure. The functional is GGA-PBE.

Computed properties:
SG   Cmcm, No. 63
ΔH_f (0 K)   -0.377 eV per atom

Structure (POSCAR):
```
Sm3GaHg
1.0
2.6435 -9.9597 0.0000
2.6435 9.9597 0.0000
0.0000 0.0000 5.2862
Sm Ga Hg
6 2 2
direct
0.0629 0.9371 0.7500
0.2491 0.7509 0.7500
0.4346 0.5654 0.7500
0.5654 0.4346 0.2500
0.7509 0.2491 0.2500
0.9371 0.0629 0.2500
0.1550 0.8450 0.2500
0.8450 0.1550 0.7500
0.3451 0.6549 0.2500
0.6549 0.3451 0.7500
```

***

This record from the Alexandria database describes a geometry-optimized La2TlGeI structure. The functional is GGA-PBE.

Computed properties:
SG   P4/mmm, No. 123

Structure (POSCAR):
```
La2TlGeI
1.0
5.9347 0.0000 0.0000
0.0000 5.9347 0.0000
0.0000 0.0000 5.5162
La Tl Ge I
2 1 1 1
direct
0.0000 0.5000 0.0000
0.5000 0.0000 0.0000
0.0000 0.0000 0.5000
0.5000 0.5000 0.5000
0.5000 0.5000 0.0000
```

***

no.,DFT total energy (eV per atom)
1,-2.008
2,-5.386
3,-4.643
4,-6.638
5,-7.926
6,-2.210
7,-6.278
8,-3.242
9,-2.480
10,-1.700
11,-3.874
12,-3.544